# 1
## EuDyMgRh (PBE-GGA)

Data for EuDyMgRh after structural relaxation.

Summary:
Its crystal system is cubic. As for the space group: F-43m (216).

Lattice parameters (Å, degrees): 5.133 5.133 5.133 60.00 60.00 60.00
Element x y z (fractional)
Eu  0.500  0.500  0.500
Mg  0.250  0.250  0.250
Rh  0.750  0.750  0.750
Dy  0.000  0.000  0.000


# 2
## EuDyMgSc (PBE-GGA)

Data for EuDyMgSc after structural relaxation.

Summary:
Its crystal system is cubic. As for the space group: F-43m (216).

Lattice parameters (Å, degrees): 5.479 5.479 5.479 60.00 60.00 60.00
Element x y z (fractional)
Eu  0.250  0.250  0.250
Sc  0.000  0.000  0.000
Mg  0.500  0.500  0.500
Dy  0.750  0.750  0.750


# 3
## SmEuDyMg (PBE-GGA)

Data for SmEuDyMg after structural relaxation.

Summary:
Its crystal system is cubic. As for the space group: F-43m (216).

Lattice parameters (Å, degrees): 5.624 5.624 5.624 60.00 60.00 60.00
Element x y z (fractional)
Eu  0.500  0.500  0.500
Mg  0.000  0.000  0.000
Sm  0.250  0.250  0.250
Dy  0.750  0.750  0.750


# 4
## SrEuDyMg (PBE-GGA)

Data for SrEuDyMg after structural relaxation.

Summary:
Its crystal system is cubic. As for the space group: F-43m (216).

Lattice parameters (Å, degrees): 5.850 5.850 5.850 60.00 60.00 60.00
Element x y z (fractional)
Eu  0.500  0.500  0.500
Sr  0.750  0.750  0.750
Mg  0.000  0.000  0.000
Dy  0.250  0.250  0.250


# 5
## TbEuDyMg (PBE-GGA)

Data for TbEuDyMg after structural relaxation.

Summary:
Its crystal system is cubic. As for the space group: F-43m (216).

Lattice parameters (Å, degrees): 5.590 5.590 5.590 60.00 60.00 60.00
Element x y z (fractional)
Eu  0.500  0.500  0.500
Mg  0.000  0.000  0.000
Tb  0.250  0.250  0.250
Dy  0.750  0.750  0.750


# 6
## EuDyTmMg (PBE-GGA)

Data for EuDyTmMg after structural relaxation.

Summary:
Its crystal system is cubic. As for the space group: F-43m (216).

Lattice parameters (Å, degrees): 5.577 5.577 5.577 60.00 60.00 60.00
Element x y z (fractional)
Eu  0.250  0.250  0.250
Mg  0.000  0.000  0.000
Tm  0.500  0.500  0.500
Dy  0.750  0.750  0.750


# 7
## EuDyMgZn (PBE-GGA)

Data for EuDyMgZn after structural relaxation.

Summary:
Its crystal system is cubic. As for the space group: F-43m (216).

Lattice parameters (Å, degrees): 5.317 5.317 5.317 60.00 60.00 60.00
Element x y z (fractional)
Eu  0.250  0.250  0.250
Zn  0.000  0.000  0.000
Mg  0.500  0.500  0.500
Dy  0.750  0.750  0.750


# 8
## EuDy2Mn (PBE-GGA)

Data for EuDy2Mn after structural relaxation.

Summary:
Its crystal system is tetragonal. As for the space group: P4/mmm (123).

Lattice parameters (Å, degrees): 3.543 3.543 9.161 90.00 90.00 90.00
Element x y z (fractional)
Eu  0.500  0.500  0.500
Mn  0.500  0.500  0.000
Dy  0.000  0.000  0.816
Dy  0.000  0.000  0.184


# 9
## EuDy2Mn (PBE-GGA)

Data for EuDy2Mn after structural relaxation.

Summary:
Its crystal system is trigonal. As for the space group: R-3m (166).

Lattice parameters (Å, degrees): 3.537 3.537 10.899 80.66 80.66 60.00
Element x y z (fractional)
Eu  0.500  0.500  0.500
Mn  0.000  0.000  0.000
Dy  0.265  0.265  0.205
Dy  0.735  0.735  0.795


# 10
## EuDy3Mn (PBE-GGA)

Data for EuDy3Mn after structural relaxation.

Summary:
Its crystal system is cubic. As for the space group: Pm-3m (221).

Lattice parameters (Å, degrees): 5.363 5.363 5.363 90.00 90.00 90.00
Element x y z (fractional)
Eu  0.500  0.500  0.500
Mn  0.000  0.000  0.000
Dy  0.000  0.500  0.000
Dy  0.000  0.000  0.500
Dy  0.500  0.000  0.000


# 11
## EuDy3N (PBE-GGA)

Data for EuDy3N after structural relaxation.

Summary:
Its crystal system is cubic. As for the space group: Pm-3m (221).

Lattice parameters (Å, degrees): 5.006 5.006 5.006 90.00 90.00 90.00
Element x y z (fractional)
Eu  0.500  0.500  0.500
N  0.000  0.000  0.000
Dy  0.000  0.500  0.000
Dy  0.000  0.000  0.500
Dy  0.500  0.000  0.000


# 12
## EuDyN (PBE-GGA)

Data for EuDyN after structural relaxation.

Summary:
Its crystal system is trigonal. As for the space group: P3m1 (156).

Lattice parameters (Å, degrees): 3.574 3.574 6.334 90.00 90.00 120.00
Element x y z (fractional)
Eu  0.000  0.000  0.099
N  0.667  0.333  0.364
Dy  0.333  0.667  0.536


The following uncorrected energy values (in eV per atom) correspond, in order, to the records above: -6.212; -5.614; -5.228; -4.409; -5.197; -5.166; -4.561; -7.040; -6.882; -6.479; -6.925; -8.635.
The following DOS at the Fermi energy values (in states/eV/atom) correspond, in order, to the records above: 1.3054; 0.8501; 0.8387; 0.8900; 0.7911; 0.7375; 1.1194; 1.2771; 1.1805; 1.0026; 0.9601; 0.8387.